First-principles (SCAN) data for a crystal of BeP3F relaxed with PBEsol, as listed in Alexandria.

Its crystal system is cubic. The uncorrected energy is -0.5379 Ry/atom. Its density of states at the Fermi level is 0.41 states/eV/atom. The uncorrected formation energy is 0.499 eV per atom.

It has space group Pm-3m (No. 221), with a = 4.124 Å, b = 4.124 Å, c = 4.124 Å, α = 90.00°, β = 90.00° and γ = 90.00°. The distinct sites, in fractional coordinates, are Be at (0.000, 0.000, 0.000), P at (0.000, 0.000, 0.500) and F at (0.500, 0.500, 0.500).



First-principles (SCAN) data for a crystal of Be2PPbF relaxed with PBEsol, as listed in Alexandria.

Its crystal system is tetragonal. The uncorrected energy is -1.4564 Ry/atom. Its density of states at the Fermi level is 0.27 states/eV/atom. The uncorrected formation energy is -0.130 eV per atom.

It has space group P4/mmm (No. 123), with a = 3.901 Å, b = 3.901 Å, c = 5.755 Å, α = 90.00°, β = 90.00° and γ = 90.00°. The distinct sites, in fractional coordinates, are Be at (0.000, 0.500, 0.000), P at (0.000, 0.000, 0.000), Pb at (0.500, 0.500, 0.500) and F at (0.000, 0.000, 0.500).



First-principles (SCAN) data for a crystal of BePS2F relaxed with PBEsol, as listed in Alexandria.

Its crystal system is tetragonal. The uncorrected energy is -0.5255 Ry/atom. Its density of states at the Fermi level is 0.58 states/eV/atom. The uncorrected formation energy is 0.360 eV per atom.

It has space group P4/mmm (No. 123), with a = 4.077 Å, b = 4.077 Å, c = 4.305 Å, α = 90.00°, β = 90.00° and γ = 90.00°. The distinct sites, in fractional coordinates, are Be at (0.000, 0.000, 0.000), P at (0.000, 0.000, 0.500), S at (0.000, 0.500, 0.000) and F at (0.500, 0.500, 0.500).



First-principles (SCAN) data for a crystal of BePbF4 relaxed with PBEsol, as listed in Alexandria.

Its crystal system is orthorhombic. The uncorrected energy is -1.3703 Ry/atom. Its density of states at the Fermi level is 0.00 states/eV/atom. The uncorrected formation energy is -2.928 eV per atom.

It has space group Pmmn (No. 59, origin choice 2), with a = 5.311 Å, b = 7.249 Å, c = 4.461 Å, α = 90.00°, β = 90.00° and γ = 90.00°. The distinct sites, in fractional coordinates, are Be at (0.250, 0.250, 0.156), Pb at (0.250, 0.750, 0.453), F at (0.004, 0.250, 0.974) and F at (0.250, 0.081, 0.377).



First-principles (SCAN) data for a crystal of BePdF3 relaxed with PBEsol, as listed in Alexandria.

Its crystal system is cubic. The uncorrected energy is -0.8425 Ry/atom. Its density of states at the Fermi level is 0.98 states/eV/atom. The uncorrected formation energy is -1.914 eV per atom.

It has space group Pm-3m (No. 221), with a = 3.609 Å, b = 3.609 Å, c = 3.609 Å, α = 90.00°, β = 90.00° and γ = 90.00°. The distinct sites, in fractional coordinates, are Be at (0.000, 0.000, 0.000), Pd at (0.500, 0.500, 0.500) and F at (0.000, 0.000, 0.500).



First-principles (SCAN) data for a crystal of BePdF2 relaxed with PBEsol, as listed in Alexandria.

Its crystal system is trigonal. The uncorrected energy is -0.9154 Ry/atom. Its density of states at the Fermi level is 0.54 states/eV/atom. The uncorrected formation energy is -1.403 eV per atom.

It has space group R-3m (No. 166, hexagonal axes), with a = 2.7438 Å, b = 2.7438 Å, c = 26.7713 Å, α = 90.00°, β = 90.00° and γ = 120.00°. The distinct sites, in fractional coordinates, are Be at (0.0000, 0.0000, 0.0000), Pd at (0.0000, 0.0000, 0.5000) and F at (0.0000, 0.0000, 0.0514).



First-principles (SCAN) data for a crystal of BePtF3 relaxed with PBEsol, as listed in Alexandria.

Its crystal system is cubic. The uncorrected energy is -1.3534 Ry/atom. Its density of states at the Fermi level is 0.81 states/eV/atom. The uncorrected formation energy is -1.381 eV per atom.

It has space group Pm-3m (No. 221), with a = 3.653 Å, b = 3.653 Å, c = 3.653 Å, α = 90.00°, β = 90.00° and γ = 90.00°. The distinct sites, in fractional coordinates, are Be at (0.000, 0.000, 0.000), Pt at (0.500, 0.500, 0.500) and F at (0.000, 0.000, 0.500).



First-principles (SCAN) data for a crystal of BePt2F relaxed with PBEsol, as listed in Alexandria.

Its crystal system is tetragonal. The uncorrected energy is -2.7374 Ry/atom. Its density of states at the Fermi level is 0.71 states/eV/atom. The uncorrected formation energy is -0.174 eV per atom.

It has space group I-42d (No. 122), with a = 3.723 Å, b = 3.723 Å, c = 15.687 Å, α = 90.00°, β = 90.00° and γ = 90.00°. The distinct sites, in fractional coordinates, are Be at (0.000, 0.000, 0.000), Pt at (0.242, 0.250, 0.125) and F at (0.000, 0.000, 0.500).



First-principles (SCAN) data for a crystal of BePtF3 relaxed with PBEsol, as listed in Alexandria.

Its crystal system is cubic. The uncorrected energy is -1.2774 Ry/atom. Its density of states at the Fermi level is 0.35 states/eV/atom. The uncorrected formation energy is -0.346 eV per atom.

It has space group Pm-3m (No. 221), with a = 4.212 Å, b = 4.212 Å, c = 4.212 Å, α = 90.00°, β = 90.00° and γ = 90.00°. The distinct sites, in fractional coordinates, are Be at (0.000, 0.000, 0.000), Pt at (0.500, 0.500, 0.500) and F at (0.000, 0.500, 0.500).



First-principles (SCAN) data for a crystal of Be3PtF relaxed with PBEsol, as listed in Alexandria.

Its crystal system is cubic. The uncorrected energy is -1.3261 Ry/atom. Its density of states at the Fermi level is 0.27 states/eV/atom. The uncorrected formation energy is -0.684 eV per atom.

It has space group Pm-3m (No. 221), with a = 3.636 Å, b = 3.636 Å, c = 3.636 Å, α = 90.00°, β = 90.00° and γ = 90.00°. The distinct sites, in fractional coordinates, are Be at (0.000, 0.000, 0.500), Pt at (0.500, 0.500, 0.500) and F at (0.000, 0.000, 0.000).



First-principles (SCAN) data for a crystal of RbBeF2 relaxed with PBEsol, as listed in Alexandria.

Its crystal system is trigonal. The uncorrected energy is -0.7568 Ry/atom. Its density of states at the Fermi level is 0.20 states/eV/atom. The uncorrected formation energy is -2.253 eV per atom.

It has space group R-3m (No. 166, hexagonal axes), with a = 4.2781 Å, b = 4.2781 Å, c = 17.2690 Å, α = 90.00°, β = 90.00° and γ = 120.00°. The distinct sites, in fractional coordinates, are Rb at (0.0000, 0.0000, 0.0000), Be at (0.0000, 0.0000, 0.5000) and F at (0.0000, 0.0000, 0.4154).



First-principles (SCAN) data for a crystal of RbBeF2 relaxed with PBEsol, as listed in Alexandria.

Its crystal system is cubic. The uncorrected energy is -0.6831 Ry/atom. Its density of states at the Fermi level is 0.03 states/eV/atom. The uncorrected formation energy is -1.251 eV per atom.

It has space group Fm-3m (No. 225), with a = 6.271 Å, b = 6.271 Å, c = 6.271 Å, α = 90.00°, β = 90.00° and γ = 90.00°. The distinct sites, in fractional coordinates, are Rb at (0.000, 0.000, 0.000), Be at (0.000, 0.000, 0.500) and F at (0.250, 0.250, 0.250).



First-principles (SCAN) data for a crystal of RbYBeF6 relaxed with PBEsol, as listed in Alexandria.

Its crystal system is monoclinic. The uncorrected energy is -0.8900 Ry/atom. Its density of states at the Fermi level is 0.00 states/eV/atom. The uncorrected formation energy is -3.867 eV per atom.

It has space group P2_1/m (No. 11), with a = 6.416 Å, b = 5.813 Å, c = 7.150 Å, α = 90.00°, β = 113.65° and γ = 90.00°. The distinct sites, in fractional coordinates, are Rb at (0.080, 0.250, 0.214), Y at (0.392, 0.250, 0.823), Be at (0.231, 0.750, 0.463), F at (0.002, 0.750, 0.270), F at (0.241, 0.534, 0.596), F at (0.321, 0.502, 0.030) and F at (0.431, 0.750, 0.396).



First-principles (SCAN) data for a crystal of BeRe3F relaxed with PBEsol, as listed in Alexandria.

Its crystal system is cubic. The uncorrected energy is -3.1288 Ry/atom. Its density of states at the Fermi level is 1.17 states/eV/atom. The uncorrected formation energy is 1.667 eV per atom.

It has space group Pm-3m (No. 221), with a = 4.102 Å, b = 4.102 Å, c = 4.102 Å, α = 90.00°, β = 90.00° and γ = 90.00°. The distinct sites, in fractional coordinates, are Be at (0.000, 0.000, 0.000), Re at (0.000, 0.500, 0.500) and F at (0.500, 0.500, 0.500).



First-principles (SCAN) data for a crystal of Be3ReF relaxed with PBEsol, as listed in Alexandria.

Its crystal system is cubic. The uncorrected energy is -1.3107 Ry/atom. The uncorrected formation energy is -0.294 eV per atom.

It has space group Pm-3m (No. 221), with a = 3.596 Å, b = 3.596 Å, c = 3.596 Å, α = 90.00°, β = 90.00° and γ = 90.00°. The distinct sites, in fractional coordinates, are Be at (0.000, 0.000, 0.500), Re at (0.500, 0.500, 0.500) and F at (0.000, 0.000, 0.000).



First-principles (SCAN) data for a crystal of Be3RhF relaxed with PBEsol, as listed in Alexandria.

Its crystal system is cubic. The uncorrected energy is -0.7257 Ry/atom. Its density of states at the Fermi level is 0.53 states/eV/atom. The uncorrected formation energy is 0.200 eV per atom.

It has space group Pm-3m (No. 221), with a = 4.171 Å, b = 4.171 Å, c = 4.171 Å, α = 90.00°, β = 90.00° and γ = 90.00°. The distinct sites, in fractional coordinates, are Be at (0.000, 0.000, 0.500), Rh at (0.000, 0.000, 0.000) and F at (0.500, 0.500, 0.500).



First-principles (SCAN) data for a crystal of Be3RhF relaxed with PBEsol, as listed in Alexandria.

Its crystal system is cubic. The uncorrected energy is -0.7812 Ry/atom. Its density of states at the Fermi level is 0.17 states/eV/atom. The uncorrected formation energy is -0.554 eV per atom.

It has space group Pm-3m (No. 221), with a = 3.601 Å, b = 3.601 Å, c = 3.601 Å, α = 90.00°, β = 90.00° and γ = 90.00°. The distinct sites, in fractional coordinates, are Be at (0.000, 0.000, 0.500), Rh at (0.500, 0.500, 0.500) and F at (0.000, 0.000, 0.000).



First-principles (SCAN) data for a crystal of BeSi2RhF relaxed with PBEsol, as listed in Alexandria.

Its crystal system is tetragonal. The uncorrected energy is -0.9300 Ry/atom. Its density of states at the Fermi level is 0.10 states/eV/atom. The uncorrected formation energy is -0.314 eV per atom.

It has space group P4/mmm (No. 123), with a = 4.435 Å, b = 4.435 Å, c = 4.297 Å, α = 90.00°, β = 90.00° and γ = 90.00°. The distinct sites, in fractional coordinates, are Be at (0.000, 0.000, 0.000), Si at (0.000, 0.500, 0.500), Rh at (0.000, 0.000, 0.500) and F at (0.500, 0.500, 0.000).



First-principles (SCAN) data for a crystal of BeRu3F relaxed with PBEsol, as listed in Alexandria.

Its crystal system is cubic. The uncorrected energy is -1.5831 Ry/atom. Its density of states at the Fermi level is 0.66 states/eV/atom. The uncorrected formation energy is 0.935 eV per atom.

It has space group Pm-3m (No. 221), with a = 4.095 Å, b = 4.095 Å, c = 4.095 Å, α = 90.00°, β = 90.00° and γ = 90.00°. The distinct sites, in fractional coordinates, are Be at (0.000, 0.000, 0.000), Ru at (0.000, 0.000, 0.500) and F at (0.500, 0.500, 0.500).



First-principles (SCAN) data for a crystal of YBeRu2F relaxed with PBEsol, as listed in Alexandria.

Its crystal system is tetragonal. The uncorrected energy is -1.5611 Ry/atom. Its density of states at the Fermi level is 0.78 states/eV/atom. The uncorrected formation energy is -0.162 eV per atom.

It has space group P4/mmm (No. 123), with a = 3.967 Å, b = 3.967 Å, c = 4.933 Å, α = 90.00°, β = 90.00° and γ = 90.00°. The distinct sites, in fractional coordinates, are Y at (0.000, 0.000, 0.000), Be at (0.500, 0.500, 0.500), Ru at (0.000, 0.500, 0.500) and F at (0.500, 0.500, 0.000).



First-principles (SCAN) data for a crystal of BeSF3 relaxed with PBEsol, as listed in Alexandria.

Its crystal system is cubic. The uncorrected energy is -0.3646 Ry/atom. Its density of states at the Fermi level is 0.38 states/eV/atom. The uncorrected formation energy is -0.041 eV per atom.

It has space group Pm-3m (No. 221), with a = 4.157 Å, b = 4.157 Å, c = 4.157 Å, α = 90.00°, β = 90.00° and γ = 90.00°. The distinct sites, in fractional coordinates, are Be at (0.000, 0.000, 0.000), S at (0.500, 0.500, 0.500) and F at (0.000, 0.500, 0.500).



First-principles (SCAN) data for a crystal of ScBeF3 relaxed with PBEsol, as listed in Alexandria.

Its crystal system is cubic. The uncorrected energy is -0.5979 Ry/atom. Its density of states at the Fermi level is 0.30 states/eV/atom. The uncorrected formation energy is -2.292 eV per atom.

It has space group Pm-3m (No. 221), with a = 3.702 Å, b = 3.702 Å, c = 3.702 Å, α = 90.00°, β = 90.00° and γ = 90.00°. The distinct sites, in fractional coordinates, are Sc at (0.000, 0.000, 0.000), Be at (0.500, 0.500, 0.500) and F at (0.000, 0.500, 0.500).



First-principles (SCAN) data for a crystal of ScBe2F2 relaxed with PBEsol, as listed in Alexandria.

Its crystal system is tetragonal. The uncorrected energy is -0.4768 Ry/atom. Its density of states at the Fermi level is 0.29 states/eV/atom. The uncorrected formation energy is -0.482 eV per atom.

It has space group P4/mbm (No. 127), with a = 7.427 Å, b = 7.427 Å, c = 2.379 Å, α = 90.00°, β = 90.00° and γ = 90.00°. The distinct sites, in fractional coordinates, are Sc at (0.000, 0.000, 0.000), Be at (0.110, 0.390, 0.000) and F at (0.102, 0.602, 0.500).



First-principles (SCAN) data for a crystal of ScBeSn2F relaxed with PBEsol, as listed in Alexandria.

Its crystal system is tetragonal. The uncorrected energy is -1.4096 Ry/atom. Its density of states at the Fermi level is 0.50 states/eV/atom. The uncorrected formation energy is -0.384 eV per atom.

It has space group P4/mmm (No. 123), with a = 5.636 Å, b = 5.636 Å, c = 3.838 Å, α = 90.00°, β = 90.00° and γ = 90.00°. The distinct sites, in fractional coordinates, are Sc at (0.000, 0.000, 0.000), Be at (0.500, 0.500, 0.500), Sn at (0.000, 0.500, 0.000) and F at (0.000, 0.000, 0.500).



First-principles (SCAN) data for a crystal of SrSc2BeF relaxed with PBEsol, as listed in Alexandria.

Its crystal system is tetragonal. The uncorrected energy is -0.8925 Ry/atom. Its density of states at the Fermi level is 1.20 states/eV/atom. The uncorrected formation energy is -0.415 eV per atom.

It has space group P4/mmm (No. 123), with a = 4.401 Å, b = 4.401 Å, c = 5.674 Å, α = 90.00°, β = 90.00° and γ = 90.00°. The distinct sites, in fractional coordinates, are Sr at (0.000, 0.000, 0.000), Sc at (0.000, 0.500, 0.500), Be at (0.500, 0.500, 0.000) and F at (0.500, 0.500, 0.500).



First-principles (SCAN) data for a crystal of Be3SeF relaxed with PBEsol, as listed in Alexandria.

Its crystal system is cubic. The uncorrected energy is -0.4801 Ry/atom. Its density of states at the Fermi level is 0.36 states/eV/atom. The uncorrected formation energy is 0.803 eV per atom.

It has space group Pm-3m (No. 221), with a = 4.329 Å, b = 4.329 Å, c = 4.329 Å, α = 90.00°, β = 90.00° and γ = 90.00°. The distinct sites, in fractional coordinates, are Be at (0.000, 0.000, 0.500), Se at (0.000, 0.000, 0.000) and F at (0.500, 0.500, 0.500).



First-principles (SCAN) data for a crystal of Be3SiF relaxed with PBEsol, as listed in Alexandria.

Its crystal system is cubic. The uncorrected energy is -0.3644 Ry/atom. Its density of states at the Fermi level is 0.30 states/eV/atom. The uncorrected formation energy is 0.366 eV per atom.

It has space group Pm-3m (No. 221), with a = 4.155 Å, b = 4.155 Å, c = 4.155 Å, α = 90.00°, β = 90.00° and γ = 90.00°. The distinct sites, in fractional coordinates, are Be at (0.000, 0.000, 0.500), Si at (0.000, 0.000, 0.000) and F at (0.500, 0.500, 0.500).